The following is a DFT calculation (GGA-PBE) of a geometry-optimized MgTaHg structure.

a = 4.6517 Å, b = 4.6517 Å, c = 4.6517 Å
α = 60.00°, β = 60.00°, γ = 60.00°
Sites, in units of the cell vectors:
1 Mg 0.5000 0.5000 0.5000
2 Ta 0.7500 0.7500 0.7500
3 Hg 0.0000 0.0000 0.0000

Output
Total magnetic moment   0.00 μB per formula unit
Distance to the lowest polymorph of the same formula   804.4 meV per atom
Crystal system   cubic
Calculated formation energy   1013 meV/atom